No. 1
Mn2Ge3O8: relaxed, GGA+U.

Computed properties:
VASP energy = -6.946 eV per atom
Magnetization = 10.00 μB per formula unit

Cell lengths 6.0596, 6.0596, 4.9533 Å; angles 106.49, 106.49, 57.80 degrees
With the nearest neighbours (Å) after each atom.
Positions (direct):
Mn 0.2193 0.2193 0.1517  5 O 2.12-2.32
Mn 0.7807 0.7807 0.8483  5 O 2.12-2.32
Ge 0.2369 0.7631 0.5000  6 O 1.88-2.02
Ge 0.5000 0.5000 0.0000  6 O 1.93
Ge 0.7631 0.2369 0.5000  6 O 1.88-2.02
O 0.1064 0.1064 0.4361  2 Ge 1.88
O 0.1691 0.6158 0.1090  2 Ge 1.92-1.93
O 0.3842 0.8309 0.8910  2 Ge 1.92-1.93
O 0.3990 0.3990 0.5974  3 Ge 1.93-2.02
O 0.6010 0.6010 0.4026  3 Ge 1.93-2.02
O 0.6158 0.1691 0.1090  2 Ge 1.92-1.93
O 0.8309 0.3842 0.8910  2 Ge 1.92-1.93
O 0.8936 0.8936 0.5639  2 Ge 1.88

---

No. 2
Mn7GeO12: relaxed, GGA+U.

Computed properties:
VASP energy = -7.456 eV per atom
Magnetization = 29.00 μB per formula unit

Cell lengths 11.7869, 11.7869, 11.7869 Å; angles 131.47, 131.47, 71.07 degrees
With the nearest neighbours (Å) after each atom.
Positions (direct):
Mn 0.0000 0.0000 0.0000  4 O 1.90-2.04
Mn 0.0000 0.0000 0.5000  4 O 1.90-2.04
Mn 0.0000 0.5000 0.0000  4 O 1.90-2.04
Mn 0.0000 0.5000 0.5000  4 O 1.90-2.04
Mn 0.1058 0.3942 0.2500  4 O 1.98-2.00
Mn 0.1250 0.3750 0.7500  4 O 2.18
Mn 0.1442 0.8942 0.7884  4 O 1.98-2.00
Mn 0.2117 0.2500 0.4617  4 O 1.98-2.04
Mn 0.2500 0.2883 0.0383  4 O 1.98-2.04
Mn 0.2500 0.7883 0.5383  4 O 1.98-2.04
Mn 0.2883 0.7500 0.0383  4 O 1.98-2.04
Mn 0.3558 0.1442 0.7500  4 O 1.98-2.00
Mn 0.3750 0.1250 0.2500  4 O 2.18
Mn 0.3942 0.6442 0.2884  4 O 1.98-2.00
Mn 0.5000 0.0000 0.0000  4 O 1.90-2.04
Mn 0.5000 0.0000 0.5000  4 O 1.90-2.04
Mn 0.5000 0.5000 0.0000  4 O 1.90-2.04
Mn 0.5000 0.5000 0.5000  4 O 1.90-2.04
Mn 0.6058 0.3558 0.7116  4 O 1.98-2.00
Mn 0.6250 0.8750 0.7500  4 O 2.18
Mn 0.6442 0.8558 0.2500  4 O 1.98-2.00
Mn 0.7117 0.2500 0.9617  4 O 1.98-2.04
Mn 0.7500 0.2117 0.4617  4 O 1.98-2.04
Mn 0.7500 0.7117 0.9617  4 O 1.98-2.04
Mn 0.7883 0.7500 0.5383  4 O 1.98-2.04
Mn 0.8558 0.1058 0.2116  4 O 1.98-2.00
Mn 0.8750 0.6250 0.2500  4 O 2.18
Mn 0.8942 0.6058 0.7500  4 O 1.98-2.00
Ge 0.1250 0.8750 0.2500  4 O 1.75
Ge 0.3750 0.6250 0.7500  4 O 1.75
Ge 0.6250 0.3750 0.2500  4 O 1.75
Ge 0.8750 0.1250 0.7500  4 O 1.75
O 0.0129 0.2984 0.9558  1 Ge 1.75
O 0.0127 0.2991 0.4273  3 Mn 1.90-2.04
O 0.0571 0.0129 0.2144  1 Ge 1.75
O 0.0854 0.8717 0.5727  3 Mn 1.90-2.04
O 0.0918 0.5941 0.2973  3 Mn 1.98-2.18
O 0.0941 0.5918 0.7973  3 Mn 1.98-2.18
O 0.1283 0.2009 0.2136  3 Mn 1.90-2.04
O 0.1574 0.9429 0.4558  1 Ge 1.75
O 0.2009 0.4873 0.0727  3 Mn 1.90-2.04
O 0.2016 0.4871 0.5442  1 Ge 1.75
O 0.2032 0.2055 0.7973  3 Mn 1.98-2.18
O 0.2055 0.9082 0.0023  3 Mn 1.98-2.18
O 0.2945 0.2968 0.7027  3 Mn 1.98-2.18
O 0.2968 0.0941 0.0023  3 Mn 1.98-2.18
O 0.2984 0.8426 0.2856  1 Ge 1.75
O 0.2991 0.3717 0.2864  3 Mn 1.90-2.04
O 0.3426 0.7984 0.7856  1 Ge 1.75
O 0.3717 0.5854 0.0727  3 Mn 1.90-2.04
O 0.4059 0.2032 0.4977  3 Mn 1.98-2.18
O 0.4082 0.7055 0.5023  3 Mn 1.98-2.18
O 0.4146 0.9873 0.7864  3 Mn 1.90-2.04
O 0.4429 0.6574 0.9558  1 Ge 1.75
O 0.4871 0.4429 0.2856  1 Ge 1.75
O 0.4873 0.9146 0.2864  3 Mn 1.90-2.04
O 0.5127 0.0854 0.7136  3 Mn 1.90-2.04
O 0.5129 0.5571 0.7144  1 Ge 1.75
O 0.5571 0.3426 0.0442  1 Ge 1.75
O 0.5854 0.0127 0.2136  3 Mn 1.90-2.04
O 0.5918 0.2945 0.4977  3 Mn 1.98-2.18
O 0.5941 0.7968 0.5023  3 Mn 1.98-2.18
O 0.6283 0.4146 0.9273  3 Mn 1.90-2.04
O 0.6574 0.2016 0.2144  1 Ge 1.75
O 0.7009 0.6283 0.7136  3 Mn 1.90-2.04
O 0.7016 0.1574 0.7144  1 Ge 1.75
O 0.7032 0.9059 0.9977  3 Mn 1.98-2.18
O 0.7055 0.7032 0.2973  3 Mn 1.98-2.18
O 0.7945 0.0918 0.9977  3 Mn 1.98-2.18
O 0.7968 0.7945 0.2027  3 Mn 1.98-2.18
O 0.7984 0.5129 0.4558  1 Ge 1.75
O 0.7991 0.5127 0.9273  3 Mn 1.90-2.04
O 0.8426 0.0571 0.5442  1 Ge 1.75
O 0.8717 0.7991 0.7864  3 Mn 1.90-2.04
O 0.9059 0.4082 0.2027  3 Mn 1.98-2.18
O 0.9082 0.4059 0.7027  3 Mn 1.98-2.18
O 0.9146 0.1283 0.4273  3 Mn 1.90-2.04
O 0.9429 0.9871 0.7856  1 Ge 1.75
O 0.9873 0.7009 0.5727  3 Mn 1.90-2.04
O 0.9871 0.7016 0.0442  1 Ge 1.75

---

No. 3
MnGeO3: relaxed, GGA+U.

Computed properties:
VASP energy = -6.282 eV per atom
Magnetization = 3.00 μB per formula unit

Cell lengths 3.7541, 3.7541, 3.7541 Å; angles 90.00, 90.00, 90.00 degrees
With the nearest neighbours (Å) after each atom.
Positions (direct):
Mn 0.0000 0.0000 0.0000  6 O 1.88
Ge 0.5000 0.5000 0.5000  12 O 2.65
O 0.0000 0.0000 0.5000  2 Mn 1.88
O 0.0000 0.5000 0.0000  2 Mn 1.88
O 0.5000 0.0000 0.0000  2 Mn 1.88

---

No. 4
Mn5GeO8: relaxed, GGA+U.

Computed properties:
VASP energy = -7.390 eV per atom
Magnetization = 23.00 μB per formula unit

Cell lengths 6.0798, 6.0798, 6.0798 Å; angles 106.26, 106.26, 116.10 degrees
With the nearest neighbours (Å) after each atom.
Positions (direct):
Mn 0.0000 0.0000 0.0000  4 O 1.93
Mn 0.1126 0.5753 0.9439  4 O 2.09-2.17
Mn 0.4247 0.3686 0.5373  4 O 2.09-2.17
Mn 0.6314 0.1687 0.0561  4 O 2.09-2.17
Mn 0.8313 0.8874 0.4627  4 O 2.09-2.17
Ge 0.2500 0.7500 0.5000  4 O 1.81
O 0.3357 0.0892 0.6950  1 Ge 1.81
O 0.3453 0.0545 0.1974  3 Mn 1.93-2.14
O 0.3593 0.6643 0.7534  1 Ge 1.81
O 0.3941 0.6407 0.3050  1 Ge 1.81
O 0.8521 0.6547 0.7091  3 Mn 1.93-2.14
O 0.8570 0.1479 0.8026  3 Mn 1.93-2.14
O 0.9108 0.6059 0.2466  1 Ge 1.81
O 0.9455 0.1430 0.2909  3 Mn 1.93-2.14

---

No. 5
MnGeP2O: relaxed, GGA+U.

Computed properties:
VASP energy = -5.326 eV per atom
Polymorph energy (0 for the lowest one) = 0.00 eV per formula unit
Magnetization = 4.33 μB per formula unit

Cell lengths 4.9434, 4.9434, 3.5399 Å; angles 90.00, 90.00, 90.00 degrees
With the nearest neighbours (Å) after each atom.
Positions (direct):
Mn 0.0000 0.0000 0.0000  8 P 3.04
Ge 0.5000 0.5000 0.5000  2 O 1.77
P 0.0000 0.5000 0.5000  2 Ge 2.47
P 0.5000 0.0000 0.5000  2 Ge 2.47
O 0.5000 0.5000 0.0000  2 Ge 1.77

---

No. 6
MnGeP2O: relaxed, GGA+U.

Computed properties:
VASP energy = -5.066 eV per atom
Polymorph energy (0 for the lowest one) = 1.30 eV per formula unit
Magnetization = 0.00 μB per formula unit

Cell lengths 4.6495, 4.6495, 3.4127 Å; angles 90.00, 90.00, 90.00 degrees
With the nearest neighbours (Å) after each atom.
Positions (direct):
Mn 0.0000 0.0000 0.0000  2 O 1.71
Ge 0.5000 0.5000 0.5000  8 P 2.88
P 0.0000 0.5000 0.0000  2 Mn 2.32
P 0.5000 0.0000 0.0000  2 Mn 2.32
O 0.0000 0.0000 0.5000  2 Mn 1.71